Compound: CdSb2Pd2
Source: Alexandria via LeMat-Bulk
Functional: PBE
Structure: relaxed

a = 6.3798 Å, b = 6.3798 Å, c = 6.3798 Å
α = 136.93°, β = 136.93°, γ = 62.54°
Positions (direct):
1 Cd 0.0000 0.0000 0.0000
2 Sb 0.2500 0.7500 0.5000
3 Sb 0.7500 0.2500 0.5000
4 Pd 0.3747 0.3747 0.0000
5 Pd 0.6253 0.6253 0.0000

Relative energy among the computed polymorphs = 181.8 meV/atom
Calculated volume = 120 Å³/cell
Raw formation energy = -0.23 eV/f.u.